[1]
Computed, not measured: crystalline KCuIBr6 at its relaxed geometry at the GGA-PBE level of DFT.

a = 6.244 Å, b = 6.619 Å, c = 9.327 Å
α = 86.61°, β = 87.83°, γ = 72.04°
Element x y z (fractional)
K (0.000, 0.000, 0.000)
Cu (0.311, 0.363, 0.211)
I (0.388, 0.658, 0.550)
Br (0.075, 0.675, 0.330)
Br (0.088, 0.476, 0.999)
Br (0.139, 0.029, 0.647)
Br (0.491, 0.014, 0.131)
Br (0.593, 0.292, 0.400)
Br (0.705, 0.576, 0.743)

Computed properties:
**Energy relative to the elements, uncorrected**: -0.486 eV per atom
**Space group**: P1
**Calculated total energy**: -2.35 eV/atom



[2]
Computed, not measured: crystalline Tl2SnBr2F2 at its relaxed geometry at the GGA-PBE level of DFT.

a = 9.434 Å, b = 9.434 Å, c = 9.434 Å
α = 150.93°, β = 150.93°, γ = 41.58°
Element x y z (fractional)
Tl (0.137, 0.137, 0.000)
Tl (0.863, 0.863, 0.000)
Sn (0.500, 0.500, 0.000)
Br (0.325, 0.325, 0.000)
Br (0.675, 0.675, 0.000)
F (0.000, 0.500, 0.500)
F (0.500, 0.000, 0.500)

Computed properties:
**Energy relative to the elements, uncorrected**: -1.419 eV per atom
**Space group**: I4/mmm
**Calculated total energy**: -3.68 eV/atom



[3]
Computed, not measured: crystalline Nd4ErAl2 at its relaxed geometry at the GGA-PBE level of DFT.

a = 8.883 Å, b = 8.883 Å, c = 8.883 Å
α = 34.91°, β = 34.91°, γ = 34.91°
Element x y z (fractional)
Nd (0.100, 0.100, 0.100)
Nd (0.358, 0.358, 0.358)
Nd (0.642, 0.642, 0.642)
Nd (0.900, 0.900, 0.900)
Er (0.500, 0.500, 0.500)
Al (0.230, 0.230, 0.230)
Al (0.770, 0.770, 0.770)

Computed properties:
**Energy relative to the elements**: -0.16 eV per atom
**Space group**: R-3m
**Calculated total energy**: -4.61 eV/atom



[4]
Computed, not measured: crystalline CdTe3 at its relaxed geometry at the GGA-PBE level of DFT.

a = 4.137 Å, b = 4.137 Å, c = 8.208 Å
α = 90.00°, β = 90.00°, γ = 120.00°
Element x y z (fractional)
Cd (0.000, 0.000, 0.000)
Te (0.000, 0.000, 0.500)
Te (0.667, 0.333, 0.232)
Te (0.667, 0.333, 0.768)

Computed properties:
**Energy relative to the elements, uncorrected**: 0.075 eV per atom
**Space group**: P-6m2
**Calculated total energy**: -2.51 eV/atom